Entry 1:
A plane-wave DFT calculation with GGA-PBE was carried out for a relaxed structure of KPmBO4.

Summary:
formation energy (no corrections)	-2.39	eV per atom
density of states at the Fermi level	8.01	states/eV per cell
crystal system	monoclinic
uncorrected energy	-0.5157	Ry/atom

Cell: 5.4633 5.3263 7.3640 Å, 90.00 105.22 90.00°
Space group P2_1/m (No. 11)
Symmetry-distinct sites (fractional):
K (0.2238, 0.2500, 0.4406)
Pm (0.2658, 0.2500, 0.9533)
B (0.2823, 0.7500, 0.1743)
O (0.1082, 0.7500, 0.2956)
O (0.1317, 0.7500, 0.9703)
O (0.4507, 0.5270, 0.1998)

---

Entry 2:
A plane-wave DFT calculation with GGA-PBE was carried out for a relaxed structure of Pm2InF8.

Summary:
formation energy (no corrections)	-3.48	eV per atom
density of states at the Fermi level	5.49	states/eV per cell
crystal system	monoclinic
uncorrected energy	-0.4374	Ry/atom

Cell: 11.1118 7.5729 4.1779 Å, 90.00 109.32 90.00°
Space group C2/m (No. 12)
Symmetry-distinct sites (fractional):
Pm (0.1737, 0.0000, 0.4101)
In (0.0000, 0.5000, 0.0000)
F (0.0597, 0.0000, 0.8061)
F (0.1303, 0.3019, 0.3914)
F (0.2076, 0.5000, 0.9768)

---

Entry 3:
A plane-wave DFT calculation with GGA-PBE was carried out for a relaxed structure of Li3ScI.

Summary:
energy above the most stable polymorph in this dataset	0.0	kJ per mole of atoms
formation energy (no corrections)	0.17	eV per atom
density of states at the Fermi level	6.30	states/eV per cell
crystal system	cubic
uncorrected energy	-0.1878	Ry/atom

Cell: 5.2124 5.2124 5.2124 Å, 90.00 90.00 90.00°
Space group Pm-3m (No. 221)
Symmetry-distinct sites (fractional):
Li (0.0000, 0.0000, 0.5000)
Sc (0.5000, 0.5000, 0.5000)
I (0.0000, 0.0000, 0.0000)

---

Entry 4:
A plane-wave DFT calculation with GGA-PBE was carried out for a relaxed structure of CaMnNi2.

Summary:
energy above the most stable polymorph in this dataset	8.0	kJ per mole of atoms
energy of formation from the pure elements	61	meV/atom
density of states at the Fermi level	3.08	states/eV per cell
crystal system	tetragonal
uncorrected energy	-0.4132	Ry/atom

Cell: 3.1011 3.1011 6.5524 Å, 90.00 90.00 90.00°
Space group P4/mmm (No. 123)
Symmetry-distinct sites (fractional):
Ca (0.0000, 0.0000, 0.0000)
Mn (0.0000, 0.0000, 0.5000)
Ni (0.5000, 0.5000, 0.3065)

---

Entry 5:
A plane-wave DFT calculation with GGA-PBE was carried out for a relaxed structure of La2Pr4TmTh.

Summary:
energy of formation from the pure elements	128	meV/atom
density of states at the Fermi level	16.36	states/eV per cell
crystal system	monoclinic
uncorrected energy	-0.3660	Ry/atom

Cell: 6.1504 6.1673 7.3621 Å, 90.00 90.10 90.00°
Space group P2/m (No. 10)
Symmetry-distinct sites (fractional):
La (0.0000, 0.0000, 0.0000)
La (0.5000, 0.5000, 0.5000)
Pr (0.0001, 0.5000, 0.2445)
Pr (0.5002, 0.0000, 0.2435)
Tm (0.0000, 0.0000, 0.5000)
Th (0.5000, 0.5000, 0.0000)

---

Entry 6:
A plane-wave DFT calculation with GGA-PBE was carried out for a relaxed structure of Zr2TaAu.

Summary:
energy above the most stable polymorph in this dataset	7.4	kJ per mole of atoms
energy of formation from the pure elements	-162	meV/atom
density of states at the Fermi level	4.50	states/eV per cell
crystal system	monoclinic
uncorrected energy	-0.6041	Ry/atom

Cell: 3.5107 4.7770 4.7772 Å, 90.00 90.11 90.00°
Space group P2/m (No. 10)
Symmetry-distinct sites (fractional):
Zr (0.0000, 0.0000, 0.0000)
Zr (0.0000, 0.5000, 0.5000)
Ta (0.5000, 0.0000, 0.5000)
Au (0.5000, 0.5000, 0.0000)

---

Entry 7:
A plane-wave DFT calculation with GGA-PBE was carried out for a relaxed structure of PuPa2Ga2.

Summary:
energy above the most stable polymorph in this dataset	0.0	kJ per mole of atoms
energy of formation from the pure elements	-230	meV/atom
density of states at the Fermi level	9.50	states/eV per cell
crystal system	hexagonal
uncorrected energy	-0.5957	Ry/atom

Cell: 4.8820 4.8820 10.6082 Å, 90.00 90.00 120.00°
Space group P6_3/mmc (No. 194)
Symmetry-distinct sites (fractional):
Pu (0.0000, 0.0000, 0.2500)
Pa (0.0000, 0.0000, 0.0000)
Pa (0.3333, 0.6667, 0.2500)
Ga (0.3333, 0.6667, 0.6208)

---

Entry 8:
A plane-wave DFT calculation with GGA-PBE was carried out for a relaxed structure of ZrReC3.

Summary:
energy above the most stable polymorph in this dataset	0.0	kJ per mole of atoms
energy of formation from the pure elements	1077	meV/atom
density of states at the Fermi level	2.14	states/eV per cell
crystal system	cubic
uncorrected energy	-0.6363	Ry/atom

Cell: 3.9706 3.9706 3.9706 Å, 90.00 90.00 90.00°
Space group Pm-3m (No. 221)
Symmetry-distinct sites (fractional):
Zr (0.0000, 0.0000, 0.0000)
Re (0.5000, 0.5000, 0.5000)
C (0.0000, 0.5000, 0.5000)

---

Entry 9:
A plane-wave DFT calculation with GGA-PBE was carried out for a relaxed structure of FeRePb3.

Summary:
energy of formation from the pure elements	1326	meV/atom
density of states at the Fermi level	3.08	states/eV per cell
crystal system	cubic
uncorrected energy	-0.3735	Ry/atom

Cell: 5.0507 5.0507 5.0507 Å, 90.00 90.00 90.00°
Space group Pm-3m (No. 221)
Symmetry-distinct sites (fractional):
Fe (0.0000, 0.0000, 0.0000)
Re (0.5000, 0.5000, 0.5000)
Pb (0.0000, 0.0000, 0.5000)

---

Entry 10:
A plane-wave DFT calculation with GGA-PBE was carried out for a relaxed structure of Mg3PtBr.

Summary:
energy above the most stable polymorph in this dataset	0.0	kJ per mole of atoms
formation energy (no corrections)	-0.47	eV per atom
density of states at the Fermi level	1.82	states/eV per cell
crystal system	cubic
uncorrected energy	-0.2184	Ry/atom

Cell: 5.1028 5.1028 5.1028 Å, 90.00 90.00 90.00°
Space group Pm-3m (No. 221)
Symmetry-distinct sites (fractional):
Mg (0.0000, 0.0000, 0.5000)
Pt (0.0000, 0.0000, 0.0000)
Br (0.5000, 0.5000, 0.5000)

---

Entry 11:
A plane-wave DFT calculation with GGA-PBE was carried out for a relaxed structure of Cu2WSe.

Summary:
formation energy (no corrections)	0.47	eV per atom
density of states at the Fermi level	5.09	states/eV per cell
crystal system	orthorhombic
uncorrected energy	-0.4177	Ry/atom

Cell: 5.0578 8.5783 2.7283 Å, 90.00 90.00 90.00°
Space group Cmmm (No. 65)
Symmetry-distinct sites (fractional):
Cu (0.2500, 0.2500, 0.0000)
W (0.0000, 0.0000, 0.5000)
Se (0.0000, 0.5000, 0.5000)

---

Entry 12:
A plane-wave DFT calculation with GGA-PBE was carried out for a relaxed structure of Li2Ac3Cd7.

Summary:
energy of formation from the pure elements	-278	meV/atom
density of states at the Fermi level	24.30	states/eV per cell
crystal system	trigonal
uncorrected energy	-0.1586	Ry/atom

Cell: 6.1722 6.1722 28.6446 Å, 90.00 90.00 120.00°
Space group R-3m (No. 166, hexagonal axes)
Symmetry-distinct sites (fractional):
Li (0.0000, 0.0000, 0.1672)
Ac (0.0000, 0.0000, 0.3595)
Ac (0.0000, 0.0000, 0.5000)
Cd (0.0000, 0.0000, 0.0000)
Cd (0.0012, 0.5006, 0.4218)

---

Number 1: density 4.16 g cm⁻³. Number 2: density 5.57 g cm⁻³. Number 3: density 2.26 g cm⁻³. Number 4: density 5.60 g cm⁻³. Number 5: density 7.39 g cm⁻³. Number 6: density 11.61 g cm⁻³. Number 7: density 12.82 g cm⁻³. Number 8: density 8.31 g cm⁻³. Number 9: density 11.13 g cm⁻³. Number 10: density 4.35 g cm⁻³. Number 11: density 10.94 g cm⁻³. Number 12: density 7.81 g cm⁻³.